Record 1
{"formula": "Li4SbH", "functional": "PBE-GGA", "state": "optimized geometry", "mass_density_g_cm3": 2.3, "de_polymorph_mev_per_atom": 3, "sg": "P2_1/m, No. 11", "cell": [[-4.381, -1.372, 1.010], [1.124, -5.039, -2.448], [2.557, -2.903, 7.149]], "species": ["Li", "Li", "Li", "Li", "Li", "Li", "Li", "Li", "Sb", "Sb", "H", "H"], "fractional_positions": [[0.254, 0.857, 0.250], [0.746, 0.143, 0.750], [0.790, 0.131, 0.250], [0.210, 0.869, 0.750], [0.748, 0.608, 0.909], [0.252, 0.392, 0.409], [0.748, 0.608, 0.591], [0.252, 0.392, 0.091], [0.746, 0.624, 0.250], [0.254, 0.376, 0.750], [0.202, 0.161, 0.250], [0.798, 0.839, 0.750]]}

Record 2
{"formula": "NaFeS2N", "functional": "PBE-GGA", "state": "optimized geometry", "e_form_raw_mev_per_atom": 928.1, "mass_density_g_cm3": 3.5, "de_polymorph_mev_per_atom": 879, "sg": "P4/mmm, No. 123", "dos_at_fermi_per_ev_cell": 3.92, "cell": [[-0.739, -0.662, -4.116], [4.047, -0.290, -0.680], [-0.181, -4.171, 0.704]], "species": ["Na", "S", "S", "Fe", "N"], "fractional_positions": [[0.000, 0.500, 0.000], [0.000, 0.000, 0.500], [0.500, 0.000, 0.000], [0.500, 0.500, 0.500], [0.000, 0.000, 0.000]]}

Record 3
{"formula": "AuCN3", "functional": "PBE-GGA", "state": "optimized geometry", "e_form_raw_mev_per_atom": 3900.0, "mass_density_g_cm3": 6.6, "sg": "Pm-3m, No. 221", "dos_at_fermi_per_ev_cell": 5.68, "cell": [[-1.216, 3.141, -2.120], [-3.590, -0.243, 1.700], [1.212, 2.432, 2.908]], "species": ["C", "Au", "N", "N", "N"], "fractional_positions": [[0.500, 0.500, 0.500], [0.000, 0.000, 0.000], [0.000, 0.500, 0.000], [0.000, 0.000, 0.500], [0.500, 0.000, 0.000]]}

Record 4
{"formula": "SrZr2Sb", "functional": "PBE-GGA", "state": "optimized geometry", "e_form_raw_mev_per_atom": 42.2, "mass_density_g_cm3": 6.3, "sg": "I-4m2, No. 119", "dos_at_fermi_per_ev_cell": 5.16, "cell": [[5.858, 0.000, 0.000], [2.264, 5.403, 0.000], [-4.061, -2.701, 3.244]], "species": ["Sb", "Sr", "Zr", "Zr"], "fractional_positions": [[0.500, 0.500, 0.000], [0.750, 0.250, 0.500], [0.000, 0.000, 0.000], [0.250, 0.750, 0.500]]}

Record 5
{"formula": "Al2InCl", "functional": "PBE-GGA", "state": "optimized geometry", "e_form_raw_mev_per_atom": 106.7, "mass_density_g_cm3": 3.9, "de_polymorph_mev_per_atom": 319, "sg": "I4/mmm, No. 139", "dos_at_fermi_per_ev_cell": 2.07, "cell": [[5.161, -0.388, 0.000], [1.327, 5.002, 0.000], [-3.244, -2.307, 3.307]], "species": ["Cl", "Al", "Al", "In"], "fractional_positions": [[0.250, 0.750, 0.500], [0.000, 0.000, 0.000], [0.500, 0.500, 0.000], [0.750, 0.250, 0.500]]}

Record 6
{"formula": "Mn2MoHRh", "functional": "PBE-GGA", "state": "optimized geometry", "mass_density_g_cm3": 9.4, "de_polymorph_mev_per_atom": 11, "sg": "P4/mmm, No. 123", "dos_at_fermi_per_ev_cell": 4.12, "cell": [[-0.439, 3.501, -1.321], [-1.998, 0.905, 3.063], [3.231, 1.080, 1.789]], "species": ["H", "Mo", "Mn", "Mn", "Rh"], "fractional_positions": [[0.000, 0.000, 0.000], [0.000, 0.000, 0.500], [0.000, 0.500, 0.000], [0.500, 0.000, 0.000], [0.500, 0.500, 0.500]]}

Record 7
{"formula": "KZr2AgOs", "functional": "PBE-GGA", "state": "optimized geometry", "mass_density_g_cm3": 6.1, "sg": "P4/mmm, No. 123", "e_form_ev_per_atom": 0.53, "dos_at_fermi_per_ev_cell": 4.13, "cell": [[-3.364, -1.949, -3.191], [4.064, -1.094, -3.615], [0.640, -4.529, 2.091]], "species": ["K", "Os", "Zr", "Zr", "Ag"], "fractional_positions": [[0.500, 0.500, 0.500], [0.000, 0.000, 0.000], [0.000, 0.000, 0.500], [0.500, 0.000, 0.000], [0.000, 0.500, 0.000]]}

Record 8
{"formula": "Ir5Rh7", "functional": "PBE-GGA", "state": "optimized geometry", "mass_density_g_cm3": 16.3, "de_polymorph_mev_per_atom": 0, "sg": "Cmmm, No. 65", "e_form_ev_per_atom": -0.02, "dos_at_fermi_per_ev_cell": 13.87, "cell": [[-0.078, -3.250, 2.076], [-2.374, -2.593, -4.148], [8.550, -0.753, -0.858]], "species": ["Ir", "Ir", "Ir", "Ir", "Ir", "Rh", "Rh", "Rh", "Rh", "Rh", "Rh", "Rh"], "fractional_positions": [[0.500, 0.166, 0.332], [0.000, 0.500, 0.500], [0.500, 0.834, 0.668], [0.500, 0.000, 0.000], [0.000, 0.000, 0.500], [0.000, 0.165, 0.834], [0.500, 0.500, 0.000], [0.000, 0.835, 0.166], [0.000, 0.669, 0.834], [0.000, 0.331, 0.166], [0.500, 0.668, 0.336], [0.500, 0.332, 0.664]]}